No. 1
Pu2NiB10 PBE optimized geometry; N(E_F) = 1.18 states/eV per atom; space group = No. 55; total moment = 19.84 μB/cell; E_form = -0.4391 eV/atom; V = 127.57 Å³/f.u.
1.0
4.1373 0.0000 0.0000
0.0000 5.5712 0.0000
0.0000 0.0000 11.0695
B Ni Pu
20 2 4
Cartesian
0.0000 0.7030 5.9776
0.0000 1.9026 2.1925
0.0000 4.8682 5.0919
0.0000 3.6686 8.8770
2.8891 4.4547 9.8128
0.0000 2.6222 7.6054
0.0000 5.4077 8.9989
0.0000 0.1634 2.0707
2.8891 1.1164 1.2568
0.0000 4.6882 3.3423
1.2482 3.9020 4.2780
0.0000 0.8830 7.7273
2.8891 3.9020 4.2780
0.0000 2.9490 3.4641
0.0000 2.0826 0.4429
2.8891 1.6691 6.7915
1.2482 1.6691 6.7915
1.2482 1.1164 1.2568
0.0000 3.4886 10.6267
1.2482 4.4547 9.8128
0.0000 2.7856 5.5348
0.0000 0.0000 0.0000
2.0687 4.5530 7.0779
2.0687 3.8038 1.5431
2.0687 1.7674 9.5265
2.0687 1.0182 3.9917

=====

No. 2
PuNi4B4 PBE optimized geometry; energy above the most stable polymorph in this dataset = 0.00 eV/f.u.; N(E_F) = 1.34 states/eV per atom; space group = No. 86; total moment = 10.79 μB/cell; E_form = -0.3157 eV/atom; V = 95.66 Å³/f.u.
1.0
3.7436 0.0000 0.0000
0.0000 7.1489 0.0000
0.0000 0.0000 7.1489
B Pu Ni
8 2 8
Cartesian
3.3720 4.7748 1.4850
0.3716 1.4850 2.3741
2.2434 1.2004 5.0594
1.5002 5.0594 5.9485
1.5002 2.0894 1.2004
2.2434 5.9485 2.0894
0.3716 5.6639 4.7748
3.3720 2.3741 5.6639
1.8718 3.5744 3.5744
0.0000 0.0000 0.0000
3.3702 4.3267 6.1209
1.4984 4.6024 0.7523
2.2451 0.7523 2.5465
2.2451 6.3966 4.6024
0.3733 6.1209 2.8222
1.4984 2.5465 6.3966
3.3702 2.8222 1.0279
0.3733 1.0279 4.3267

=====

No. 3
PuNi6B PBE optimized geometry; N(E_F) = 2.24 states/eV per atom; space group = No. 166; total moment = 3.98 μB/cell; E_form = -0.0152 eV/atom; V = 104.12 Å³/f.u.
1.0
-5.0939 -0.5784 1.0634
-1.5559 -3.5801 3.4892
-1.8861 1.5916 4.7203
Ni B Pu
6 1 1
Cartesian
-1.8342 -1.7078 3.1746
-5.0656 -2.2472 7.2201
-1.1147 -0.0522 1.5611
-3.4702 -0.3197 2.0528
-7.4212 -2.5147 7.7118
-6.7017 -0.8591 6.0983
0.0000 0.0000 0.0000
-4.2679 -1.2834 4.6364

=====

Number 1 is which compound? Pu2NiB10

=====

Which value of E_form does entry 3 give? -0.0152 eV/atom

=====

Among the records above, which one has the highest E_form? PuNi6B

=====

What is the V in the second record? 95.66 Å³/f.u.